1.
Material: KLa2Cl7
Method: DFT, PBE
State: optimized geometry

Cell: 8.3655 8.3655 5.5627 Å, 90.00 90.00 115.76°
Atoms (fractional coordinates):
K: 0.0000 0.0000 0.0000
La: 0.3018 0.6982 0.5000
La: 0.6982 0.3018 0.5000
Cl: 0.0515 0.3252 0.5000
Cl: 0.2807 0.7193 0.0000
Cl: 0.3252 0.0515 0.5000
Cl: 0.5000 0.5000 0.5000
Cl: 0.6748 0.9485 0.5000
Cl: 0.7193 0.2807 0.0000
Cl: 0.9485 0.6748 0.5000

* formation energy from raw total energies: -2290.5 meV per atom
* space-group type: No. 65
* calculated volume: 350.6 Å³/cell



2.
Material: KLa2Cl
Method: DFT, PBE
State: optimized geometry

Cell: 5.9918 5.9918 3.8543 Å, 90.00 90.00 90.00°
Atoms (fractional coordinates):
K: 0.0000 0.0000 0.0000
La: 0.0000 0.5000 0.5000
La: 0.5000 0.0000 0.5000
Cl: 0.5000 0.5000 0.0000

* formation energy from raw total energies: 34.3 meV per atom
* space-group type: No. 123
* calculated volume: 138.4 Å³/cell
* polymorph energy (0 for the lowest one): 0.723 eV/atom